DFT (PBE) results for a relaxed structure of K3PbO3.

Values from the calculation:
Crystal system: orthorhombic
Raw total energy, eV per formula unit: -29.38

Cell lengths 8.707, 15.064, 5.599 Å; angles 90.00, 90.00, 90.00 degrees
Space group Cmcm (No. 63)
Unique sites:
K1 0.000 0.164 0.250
K2 0.247 0.082 0.750
Pb1 0.000 0.333 0.750
O1 0.000 0.190 0.750
O2 0.214 0.405 0.750

---

DFT (PBE) results for a relaxed structure of KPb2O.

Values from the calculation:
Crystal system: tetragonal
Raw total energy, eV per formula unit: -14.52

Cell lengths 6.190, 6.190, 15.106 Å; angles 90.00, 90.00, 90.00 degrees
Space group I-42d (No. 122)
Unique sites:
K1 0.000 0.000 0.000
Pb1 0.047 0.250 0.625
O1 0.000 0.000 0.500

---

DFT (PBE) results for a relaxed structure of K4PbO5.

Values from the calculation:
Crystal system: tetragonal
Raw total energy, eV per formula unit: -42.89

Cell lengths 8.348, 8.348, 5.750 Å; angles 90.00, 90.00, 90.00 degrees
Space group I4 (No. 79)
Unique sites:
K1 0.091 0.704 0.000
Pb1 0.000 0.000 0.539
O1 0.000 0.000 0.912
O2 0.076 0.754 0.479

---

DFT (PBE) results for a relaxed structure of K2PbO3.

Values from the calculation:
Crystal system: orthorhombic
Raw total energy, eV per formula unit: -28.26

Cell lengths 10.868, 7.056, 6.098 Å; angles 90.00, 90.00, 90.00 degrees
Space group Cmc2_1 (No. 36)
Unique sites:
K1 0.163 0.137 0.000
Pb1 0.000 0.401 0.462
O1 0.000 0.124 0.357
O2 0.132 0.464 0.728

---

DFT (PBE) results for a relaxed structure of K2PbO3.

Values from the calculation:
Crystal system: monoclinic
Raw total energy, eV per formula unit: -28.21

Cell lengths 10.789, 7.483, 6.252 Å; angles 90.00, 99.63, 90.00 degrees
Space group C2/c (No. 15)
Unique sites:
K1 0.162 0.100 0.148
Pb1 0.000 0.416 0.750
O1 0.000 0.139 0.750
O2 0.133 0.462 0.066

---

DFT (PBE) results for a relaxed structure of KPbO3.

Values from the calculation:
Crystal system: cubic
Raw total energy, eV per formula unit: -17.96

Cell lengths 4.467, 4.467, 4.467 Å; angles 90.00, 90.00, 90.00 degrees
Space group Pm-3m (No. 221)
Unique sites:
K1 0.000 0.000 0.000
Pb1 0.500 0.500 0.500
O1 0.000 0.000 0.500

---

DFT (PBE) results for a relaxed structure of KPbO3.

Values from the calculation:
Crystal system: cubic
Raw total energy, eV per formula unit: -23.56

Cell lengths 4.284, 4.284, 4.284 Å; angles 90.00, 90.00, 90.00 degrees
Space group Pm-3m (No. 221)
Unique sites:
K1 0.000 0.000 0.000
Pb1 0.500 0.500 0.500
O1 0.000 0.500 0.500

---

DFT (PBE) results for a relaxed structure of K3Pb2O4.

Values from the calculation:
Crystal system: monoclinic
Raw total energy, eV per formula unit: -41.09

Cell lengths 9.929, 12.415, 6.572 Å; angles 90.00, 109.18, 90.00 degrees
Space group C2/c (No. 15)
Unique sites:
K1 0.000 0.112 0.250
K2 0.122 0.366 0.525
Pb1 0.180 0.126 0.882
O1 0.145 0.267 0.123
O2 0.225 0.002 0.134

---

DFT (PBE) results for a relaxed structure of K2PbO3.

Values from the calculation:
Crystal system: hexagonal
Raw total energy, eV per formula unit: -28.28

Cell lengths 6.1102, 6.1102, 12.6294 Å; angles 90.00, 90.00, 120.00 degrees
Space group P6_3/mcm (No. 193)
Unique sites:
K1 0.0000 0.0000 0.0000
K2 0.0000 0.3149 0.2500
Pb1 0.3333 0.6667 0.0000
O1 0.0000 0.3865 0.6003

---

DFT (PBE) results for a relaxed structure of K6Pb2O5.

Values from the calculation:
Crystal system: triclinic
Raw total energy, eV per formula unit: -55.10

Cell lengths 6.536, 7.750, 12.637 Å; angles 79.24, 84.45, 87.92 degrees
Space group P-1 (No. 2)
Unique sites:
K1 0.068 0.390 0.134
K2 0.088 0.861 0.126
K3 0.182 0.050 0.377
K4 0.190 0.511 0.379
K5 0.279 0.703 0.627
K6 0.423 0.413 0.881
Pb1 0.254 0.211 0.638
Pb2 0.411 0.871 0.855
O1 0.015 0.242 0.526
O2 0.117 0.387 0.744
O3 0.145 0.950 0.746
O4 0.248 0.674 0.978
O5 0.418 0.302 0.242